1.
VASP calculation (PBE) on an optimized crystal structure of LuZnSn.

The calculation puts the total energy at -3.36 eV/atom. The volume is 77.1 Å³/f.u.

The space group is F-43m (No. 216) and the conventional cell measures 6.757, 6.757 and 6.757 Å, with angles of 90.00, 90.00 and 90.00 degrees. The inequivalent atoms are Lu at (0.000, 0.000, 0.000), Zn at (0.000, 0.000, 0.500) and Sn at (0.250, 0.250, 0.750).


2.
VASP calculation (PBE) on an optimized crystal structure of SmTlCdSe3.

The calculation puts the total energy at -4.15 eV/atom. The volume is 176.6 Å³/f.u.

The space group is Pnma (No. 62) and the conventional cell measures 11.278, 4.305 and 14.548 Å, with angles of 90.00, 90.00 and 90.00 degrees. The inequivalent atoms are Sm at (0.006, 0.250, 0.247), Tl at (0.238, 0.750, 0.500), Cd at (0.245, 0.250, 0.711), Se at (0.044, 0.250, 0.618), Se at (0.059, 0.750, 0.114) and Se at (0.245, 0.750, 0.824).


3.
VASP calculation (PBE) on an optimized crystal structure of YZrCoSn.

The calculation puts the total energy at -6.47 eV/atom. The volume is 81.8 Å³/f.u.

The space group is F-43m (No. 216) and the conventional cell measures 6.891, 6.891 and 6.891 Å, with angles of 90.00, 90.00 and 90.00 degrees. The inequivalent atoms are Y at (0.000, 0.000, 0.000), Zr at (0.250, 0.250, 0.250), Co at (0.250, 0.250, 0.750) and Sn at (0.000, 0.000, 0.500).


4.
VASP calculation (PBE) on an optimized crystal structure of SrRe2Ir.

The calculation puts the total energy at -7.93 eV/atom. The volume is 70.1 Å³/f.u.

The space group is F-43m (No. 216) and the conventional cell measures 6.546, 6.546 and 6.546 Å, with angles of 90.00, 90.00 and 90.00 degrees. The inequivalent atoms are Sr at (0.000, 0.000, 0.000), Re at (0.000, 0.000, 0.500), Re at (0.250, 0.250, 0.750) and Ir at (0.250, 0.250, 0.250).